No. 1
## NaLuZnHg (GGA-PBE)

Data for a geometry-optimized NaLuZnHg structure.

For the formation energy, the calculation gives -60 kJ/mol of formula units. The density of states at the Fermi level is 10.89 states/eV per cell.

The structure belongs to space group F-43m (No. 216); the cell edges are 7.1110, 7.1110 and 7.1110 Å and the angles 90.00°, 90.00° and 90.00°. The inequivalent atoms are Na at (0.0000, 0.0000, 0.0000), Lu at (0.0000, 0.0000, 0.5000), Zn at (0.2500, 0.2500, 0.7500) and Hg at (0.2500, 0.2500, 0.2500).

---

No. 2
## DyTm2Lu (GGA-PBE)

Data for a geometry-optimized DyTm2Lu structure.

For the formation energy, the calculation gives 55 kJ/mol of formula units. The density of states at the Fermi level is 39.16 states/eV per cell. The value obtained for the energy above the most stable polymorph in this dataset is 0.1132 eV/atom.

The structure belongs to space group Fm-3m (No. 225); the cell edges are 7.8783, 7.8783 and 7.8783 Å and the angles 90.00°, 90.00° and 90.00°. The inequivalent atoms are Dy at (0.0000, 0.0000, 0.0000), Tm at (0.2500, 0.2500, 0.2500) and Lu at (0.0000, 0.0000, 0.5000).

---

No. 3
## La3PmEr6Tm2 (GGA-PBE)

Data for a geometry-optimized La3PmEr6Tm2 structure.

For the formation energy, the calculation gives 29 kJ/mol of formula units. The density of states at the Fermi level is 32.29 states/eV per cell.

The structure belongs to space group C2/m (No. 12); the cell edges are 6.1994, 10.7364 and 11.7963 Å and the angles 90.00°, 100.08° and 90.00°. The inequivalent atoms are La at (0.0000, 0.0000, 0.0000), La at (0.0000, 0.3333, 0.0000), Pm at (0.0000, 0.5000, 0.5000), Er at (0.2472, 0.0000, 0.7447), Er at (0.2482, 0.3330, 0.7446) and Tm at (0.0000, 0.1668, 0.5000).

---

No. 4
## Ni2AgAu2 (GGA-PBE)

Data for a geometry-optimized Ni2AgAu2 structure.

For the formation energy, the calculation gives 125 kJ/mol of formula units. The density of states at the Fermi level is 13.41 states/eV per cell. The value obtained for the energy above the most stable polymorph in this dataset is 0.0961 eV/atom.

The structure belongs to space group I4/mmm (No. 139); the cell edges are 3.4370, 3.4370 and 13.9168 Å and the angles 90.00°, 90.00° and 90.00°. The inequivalent atoms are Ni at (0.0000, 0.5000, 0.2500), Ag at (0.0000, 0.0000, 0.0000) and Au at (0.0000, 0.0000, 0.3934).

---

No. 5
## TbPm6HoTm2 (GGA-PBE)

Data for a geometry-optimized TbPm6HoTm2 structure.

For the formation energy, the calculation gives 113 kJ/mol of formula units. The density of states at the Fermi level is 57.67 states/eV per cell.

The structure belongs to space group C2/c (No. 15); the cell edges are 9.2227, 15.1877 and 9.5770 Å and the angles 90.00°, 97.19° and 90.00°. The inequivalent atoms are Tb at (0.0000, 0.0287, 0.2500), Pm at (0.0613, 0.1773, 0.9455), Pm at (0.0976, 0.3906, 0.1182), Pm at (0.2137, 0.2239, 0.3143), Ho at (0.0000, 0.4105, 0.7500) and Tm at (0.2502, 0.0490, 0.5469).

---

No. 6
## Rb2Np2FeS6 (GGA-PBE)

Data for a geometry-optimized Rb2Np2FeS6 structure.

The density of states at the Fermi level is 40.67 states/eV per cell. The value obtained for the energy relative to the elements, uncorrected is -1.050 eV per atom.

The structure belongs to space group C2/m (No. 12); the cell edges are 6.5846, 11.1806 and 8.2521 Å and the angles 90.00°, 106.10° and 90.00°. The inequivalent atoms are Rb at (0.0000, 0.1728, 0.0000), Np at (0.0000, 0.3327, 0.5000), Fe at (0.0000, 0.0000, 0.5000), S at (0.2151, 0.1498, 0.6798) and S at (0.2346, 0.0000, 0.3225).

---

No. 7
## TaIN3 (GGA-PBE)

Data for a geometry-optimized TaIN3 structure.

The density of states at the Fermi level is 2.75 states/eV per cell. The value obtained for the energy relative to the elements, uncorrected is 0.854 eV per atom.

The structure belongs to space group Pm-3m (No. 221); the cell edges are 4.1234, 4.1234 and 4.1234 Å and the angles 90.00°, 90.00° and 90.00°. The inequivalent atoms are Ta at (0.0000, 0.0000, 0.0000), I at (0.5000, 0.5000, 0.5000) and N at (0.0000, 0.0000, 0.5000).

---

No. 8
## LiSc2MnAl (GGA-PBE)

Data for a geometry-optimized LiSc2MnAl structure.

For the formation energy, the calculation gives 274 kJ/mol of formula units. The density of states at the Fermi level is 6.24 states/eV per cell. The value obtained for the energy above the most stable polymorph in this dataset is 0.4619 eV/atom.

The structure belongs to space group P4/mmm (No. 123); the cell edges are 5.2221, 5.2221 and 4.6313 Å and the angles 90.00°, 90.00° and 90.00°. The inequivalent atoms are Li at (0.0000, 0.0000, 0.0000), Sc at (0.0000, 0.5000, 0.5000), Mn at (0.5000, 0.5000, 0.0000) and Al at (0.5000, 0.5000, 0.5000).